VASP calculation (PBE) on a relaxed structure of AlOsW.

Summary:
N(E_F): 1.37 states/eV/f.u.
Energy relative to the lowest polymorph listed for this composition: 0.000 eV/atom
ΔE_f: -0.23 eV/atom
SG: No. 107
ρ: 15.1 g/cm³

Lattice parameters (Å, degrees): 5.389 5.389 5.389 147.91 147.91 46.01
Fractional coordinates of all 3 atoms:
Os 0.336 0.336 0.000
Al 0.993 0.993 0.000
W 0.670 0.670 0.000

=====

VASP calculation (PBE) on a relaxed structure of AlOsW.

Summary:
N(E_F): 1.06 states/eV/f.u.
Energy relative to the lowest polymorph listed for this composition: 0.310 eV/atom
ΔE_f: 0.08 eV/atom
SG: No. 42
ρ: 14.6 g/cm³

Lattice parameters (Å, degrees): 6.915 6.684 2.767 82.99 73.62 23.40
Fractional coordinates of all 3 atoms:
Os 0.335 0.335 0.665
Al 0.996 0.996 0.004
W 0.668 0.668 0.332

=====

VASP calculation (PBE) on a relaxed structure of Al3OsW.

Summary:
N(E_F): 3.02 states/eV/f.u.
Energy relative to the lowest polymorph listed for this composition: 0.000 eV/atom
ΔE_f: 0.96 eV/atom
SG: No. 221
ρ: 7.6 g/cm³

Lattice parameters (Å, degrees): 4.636 4.636 4.636 90.00 90.00 90.00
Fractional coordinates of all 5 atoms:
Os 0.000 0.000 0.000
Al 0.000 0.500 0.000
Al 0.000 0.000 0.500
Al 0.500 0.000 0.000
W 0.500 0.500 0.500

=====

VASP calculation (PBE) on a relaxed structure of ZrAlOsW2.

Summary:
N(E_F): 8.79 states/eV/f.u.
ΔE_f: 2.45 eV/atom
SG: No. 123
ρ: 10.2 g/cm³

Lattice parameters (Å, degrees): 4.800 4.799 4.800 90.00 90.00 90.00
Fractional coordinates of all 5 atoms:
Os 0.000 0.500 0.000
Zr 0.000 0.000 0.000
W 0.000 0.000 0.500
W 0.500 0.000 0.000
Al 0.500 0.500 0.500

=====

VASP calculation (PBE) on a relaxed structure of YAlOs2.

Summary:
N(E_F): 3.27 states/eV/f.u.
ΔE_f: 0.24 eV/atom
SG: No. 166
ρ: 12.1 g/cm³

Lattice parameters (Å, degrees): 8.696 8.696 8.696 20.11 20.11 20.11
Fractional coordinates of all 4 atoms:
Y 0.250 0.250 0.250
Os 0.008 0.008 0.008
Os 0.492 0.492 0.492
Al 0.750 0.750 0.750

=====

VASP calculation (PBE) on a relaxed structure of YAlOs.

Summary:
N(E_F): 1.38 states/eV/f.u.
ΔE_f: -0.33 eV/atom
SG: No. 107
ρ: 8.9 g/cm³

Lattice parameters (Å, degrees): 5.727 5.727 3.301 73.25 73.25 33.50
Fractional coordinates of all 3 atoms:
Y 0.323 0.323 0.677
Os 0.642 0.642 0.358
Al 0.035 0.035 0.965

=====

VASP calculation (PBE) on a relaxed structure of YAlOs2.

Summary:
N(E_F): 5.28 states/eV/f.u.
ΔE_f: 0.17 eV/atom
SG: No. 119
ρ: 12.0 g/cm³

Lattice parameters (Å, degrees): 5.242 5.242 5.242 135.97 135.97 64.02
Fractional coordinates of all 4 atoms:
Y 0.500 0.500 0.000
Os 0.000 0.000 0.000
Os 0.250 0.750 0.500
Al 0.750 0.250 0.500

=====

VASP calculation (PBE) on a relaxed structure of YAlOs2.

Summary:
N(E_F): 6.14 states/eV/f.u.
ΔE_f: 0.25 eV/atom
SG: No. 216
ρ: 12.0 g/cm³

Lattice parameters (Å, degrees): 4.595 4.595 4.595 60.00 60.00 60.00
Fractional coordinates of all 4 atoms:
Y 0.750 0.750 0.750
Os 0.000 0.000 0.000
Os 0.250 0.250 0.250
Al 0.500 0.500 0.500

=====

VASP calculation (PBE) on a relaxed structure of YAlOs.

Summary:
N(E_F): 2.51 states/eV/f.u.
ΔE_f: -0.47 eV/atom
SG: No. 74
ρ: 9.1 g/cm³

Lattice parameters (Å, degrees): 5.368 5.368 5.368 91.92 118.73 119.07
Fractional coordinates of all 6 atoms:
Y 0.250 0.117 0.867
Y 0.750 0.883 0.133
Al 0.500 0.500 0.500
Al 0.000 0.500 0.000
Os 0.000 0.500 0.500
Os 0.500 0.000 0.500

=====

VASP calculation (PBE) on a relaxed structure of YAlOs2.

Summary:
N(E_F): 2.75 states/eV/f.u.
ΔE_f: 0.00 eV/atom
SG: No. 10
ρ: 11.7 g/cm³

Lattice parameters (Å, degrees): 3.978 2.996 6.148 73.24 90.00 90.00
Fractional coordinates of all 4 atoms:
Y 0.500 0.250 0.250
Os 0.000 0.935 0.950
Os 0.000 0.565 0.550
Al 0.500 0.750 0.750

=====

VASP calculation (PBE) on a relaxed structure of YAlOs2.

Summary:
N(E_F): 5.36 states/eV/f.u.
ΔE_f: -0.08 eV/atom
SG: No. 123
ρ: 12.1 g/cm³

Lattice parameters (Å, degrees): 3.230 3.230 6.531 90.00 90.00 90.00
Fractional coordinates of all 4 atoms:
Y 0.500 0.500 0.250
Os 0.000 0.000 0.959
Os 0.000 0.000 0.541
Al 0.500 0.500 0.750

=====

VASP calculation (PBE) on a relaxed structure of YAlOs.

Summary:
N(E_F): 0.84 states/eV/f.u.
ΔE_f: 0.85 eV/atom
SG: No. 216
ρ: 7.3 g/cm³

Lattice parameters (Å, degrees): 4.621 4.621 4.621 60.00 60.00 60.00
Fractional coordinates of all 3 atoms:
Y 0.750 0.750 0.750
Os 0.500 0.500 0.500
Al 0.000 0.000 0.000

=====

VASP calculation (PBE) on a relaxed structure of YAlOs.

Summary:
N(E_F): 1.90 states/eV/f.u.
ΔE_f: 0.13 eV/atom
SG: No. 156
ρ: 8.4 g/cm³

Lattice parameters (Å, degrees): 3.314 3.314 6.337 90.00 90.00 120.00
Fractional coordinates of all 3 atoms:
Y 0.333 0.667 0.647
Os 0.667 0.333 0.309
Al 0.000 0.000 0.044

=====

VASP calculation (PBE) on a relaxed structure of YAlOs.

Summary:
N(E_F): 1.53 states/eV/f.u.
ΔE_f: -0.31 eV/atom
SG: No. 187
ρ: 8.5 g/cm³

Lattice parameters (Å, degrees): 4.355 4.355 3.624 90.00 90.00 120.00
Fractional coordinates of all 3 atoms:
Y 0.333 0.667 0.667
Os 0.667 0.333 0.167
Al 0.000 0.000 0.167

=====

VASP calculation (PBE) on a relaxed structure of YAlOs2.

Summary:
N(E_F): 3.14 states/eV/f.u.
ΔE_f: 0.03 eV/atom
SG: No. 6
ρ: 11.9 g/cm³

Lattice parameters (Å, degrees): 4.474 3.028 5.261 76.55 90.00 90.00
Fractional coordinates of all 4 atoms:
Y 0.000 0.479 0.524
Os 0.000 0.899 0.023
Os 0.500 0.232 0.187
Al 0.500 0.890 0.767